The following is a GGA-PBE calculation of Hf2CI after structural relaxation, from the Alexandria database.

Values from the calculation:
The value obtained for the raw formation energy is 0.052 eV/atom. As for the relative energy among the computed polymorphs: 0.0000 eV per atom. As for the space group: I-42d, No. 122. For the density, the calculation gives 8.94 g/cm3. As for the crystal system: tetragonal.

Unit cell a=6.8760 b=6.8760 c=6.8760 alpha=130.40 beta=130.40 gamma=72.77
Fractional coordinates of all 8 atoms:
Hf 0.0139 0.6250 0.8889
Hf 0.3750 0.2639 0.3889
Hf 0.7361 0.1250 0.1111
Hf 0.8750 0.9861 0.6111
C 0.0000 0.0000 0.0000
C 0.7500 0.2500 0.5000
I 0.2500 0.7500 0.5000
I 0.5000 0.5000 0.0000